Here is Sc2MnRe after structural relaxation from the Alexandria database. Energies are from PBE.

Structure (extended XYZ):
```
4
Lattice="2.9679 0.0000 0.0000 0.0000 2.9679 0.0000 0.0000 0.0000 8.1851" Properties=species:S:1:pos:R:3 pbc="T T T"
Sc 0.0000 0.0000 0.0000
Sc 1.4840 1.4840 3.0204
Mn 0.0000 0.0000 4.8593
Re 1.4840 1.4840 6.1878
```

Values from the calculation:
SG: P4mm
VASP energy: -34.5 eV/f.u.
formation energy: -62 meV per atom